The following is a PBE-GGA calculation of a relaxed structure of YTaSi3, from Alexandria.

Values from the calculation:
As for the energy relative to the lowest polymorph listed for this composition: 0.000 eV per atom. For the mass density, the calculation gives 5.256 Mg/m³. Its formation energy (no corrections) is 0.158 eV/atom. The volume is 22.4 A^3/atom.

Structure (CIF):
```
data_YTaSi3
_cell_length_a 4.8186
_cell_length_b 4.8186
_cell_length_c 4.8186
_cell_angle_alpha 90.00
_cell_angle_beta 90.00
_cell_angle_gamma 90.00
_space_group_name_H-M_alt 'P m -3 m'
_space_group_IT_number 221
_space_group_name_Hall '-P 4 2 3'
loop_
_atom_site_label
_atom_site_fract_x
_atom_site_fract_y
_atom_site_fract_z
Y1 0.0000 0.0000 0.0000
Ta1 0.5000 0.5000 0.5000
Si1 0.0000 0.5000 0.5000
```


The following is a PBE-GGA calculation of a relaxed structure of YTa2Si, from Alexandria.

Values from the calculation:
For the mass density, the calculation gives 9.690 Mg/m³. Its formation energy (no corrections) is -0.118 eV/atom. The volume is 20.5 A^3/atom.

Structure (CIF):
```
data_YTa2Si
_cell_length_a 3.5557
_cell_length_b 4.2428
_cell_length_c 5.7203
_cell_angle_alpha 90.00
_cell_angle_beta 108.01
_cell_angle_gamma 90.00
_space_group_name_H-M_alt 'P 1 m 1'
_space_group_IT_number 6
_space_group_name_Hall 'P -2y'
loop_
_atom_site_label
_atom_site_fract_x
_atom_site_fract_y
_atom_site_fract_z
Y1 0.0000 0.0000 0.0000
Ta1 0.2787 0.5000 0.5612
Ta2 0.7313 0.0000 0.4668
Si1 0.5863 0.5000 0.1746
```


The following is a PBE-GGA calculation of a relaxed structure of YTa2Si, from Alexandria.

Values from the calculation:
For the mass density, the calculation gives 10.119 Mg/m³. Its formation energy (no corrections) is 0.101 eV/atom. The volume is 19.6 A^3/atom.

Structure (CIF):
```
data_YTa2Si
_cell_length_a 3.7856
_cell_length_b 4.7428
_cell_length_c 8.7544
_cell_angle_alpha 90.00
_cell_angle_beta 90.00
_cell_angle_gamma 90.00
_space_group_name_H-M_alt 'C m m m'
_space_group_IT_number 65
_space_group_name_Hall '-C 2 2'
loop_
_atom_site_label
_atom_site_fract_x
_atom_site_fract_y
_atom_site_fract_z
Y1 0.0000 0.0000 0.0000
Ta1 0.0000 0.5000 0.3019
Si1 0.0000 0.0000 0.5000
```


Number 1: DOS at the Fermi energy 2.6 states/eV per cell. Number 2: DOS at the Fermi energy 2.1 states/eV per cell. Number 3: DOS at the Fermi energy 7.8 states/eV per cell.